# Ti2TlH PBE optimized geometry
data_Ti2TlH
_space_group_name_H-M_alt 'I 41/a m d'
_space_group_IT_number 141
_cell_length_a 5.256
_cell_length_b 5.256
_cell_length_c 9.514
_cell_angle_alpha 90.00
_cell_angle_beta 90.00
_cell_angle_gamma 90.00
loop_
_space_group_symop_operation_xyz
'x,y,z'
'-x,-y,-z'
'-y+1/4,x+3/4,z+1/4'
'y+1/4,-x+3/4,-z+1/4'
'-x+1/2,-y,z+1/2'
'x+1/2,y,-z+1/2'
'y+1/4,-x+1/4,z+3/4'
'-y+1/4,x+1/4,-z+3/4'
'x,-y,-z'
'-x,y,z'
'-y+1/4,-x+1/4,-z+3/4'
'y+1/4,x+1/4,z+3/4'
'-x+1/2,y,-z+1/2'
'x+1/2,-y,z+1/2'
'y+1/4,x+3/4,-z+1/4'
'-y+1/4,-x+3/4,z+1/4'
'x+1/2,y+1/2,z+1/2'
'-x+1/2,-y+1/2,-z+1/2'
'-y+3/4,x+1/4,z+3/4'
'y+3/4,-x+1/4,-z+3/4'
'-x,-y+1/2,z'
'x,y+1/2,-z'
'y+3/4,-x+3/4,z+1/4'
'-y+3/4,x+3/4,-z+1/4'
'x+1/2,-y+1/2,-z+1/2'
'-x+1/2,y+1/2,z+1/2'
'-y+3/4,-x+3/4,-z+1/4'
'y+3/4,x+3/4,z+1/4'
'-x,y+1/2,-z'
'x,-y+1/2,z'
'y+3/4,x+1/4,-z+3/4'
'-y+3/4,-x+1/4,z+3/4'
loop_
_atom_site_label
_atom_site_fract_x
_atom_site_fract_y
_atom_site_fract_z
Ti1 0.000 0.000 0.000
Tl1 0.000 0.250 0.375
H1 0.000 0.250 0.875
# energy above the most stable polymorph in this dataset = 240 meV per atom
# uncorrected energy = -5.286 eV/atom
# density of states at the Fermi level = 0.962 states/eV/atom